Entry from the Alexandria database: an optimized crystal structure of TbScSeO2 (GGA-PBE).

Unit cell a=6.456 b=3.973 c=7.391 alpha=90.00 beta=111.13 gamma=90.00
Fractional positions:
Tb  0.189  0.250  0.435
Tb  0.811  0.750  0.565
Sc  0.155  0.250  0.928
Sc  0.845  0.750  0.072
Se  0.469  0.750  0.745
Se  0.531  0.250  0.255
O  0.013  0.750  0.366
O  0.031  0.750  0.897
O  0.969  0.250  0.103
O  0.987  0.250  0.634

Magnetization in μB/cell: 0.0
N(E_F) in states/eV/cell: 0.00
Theoretical density in kg/m3: 5913
Formation energy from raw total energies in meV per atom: -3023


Entry from the Alexandria database: an optimized crystal structure of TbScSe2O (GGA-PBE).

Unit cell a=3.885 b=3.885 c=13.955 alpha=90.00 beta=90.00 gamma=90.00
Fractional positions:
Tb  0.250  0.250  0.082
Tb  0.750  0.750  0.918
Sc  0.250  0.250  0.619
Sc  0.750  0.750  0.381
Se  0.250  0.250  0.411
Se  0.250  0.250  0.797
Se  0.750  0.750  0.203
Se  0.750  0.750  0.589
O  0.250  0.750  0.000
O  0.750  0.250  0.000

Magnetization in μB/cell: 0.0
N(E_F) in states/eV/cell: 2.30
Theoretical density in kg/m3: 5956
Formation energy from raw total energies in meV per atom: -2345


Entry from the Alexandria database: an optimized crystal structure of Sc2TeSe2O10 (GGA-PBE).

Unit cell a=6.628 b=11.230 c=12.710 alpha=90.00 beta=100.49 gamma=90.00
Fractional positions:
Sc  0.195  0.154  0.408
Sc  0.195  0.346  0.908
Sc  0.247  0.698  0.530
Sc  0.247  0.802  0.030
Sc  0.753  0.198  0.970
Sc  0.753  0.302  0.470
Sc  0.805  0.654  0.092
Sc  0.805  0.846  0.592
Te  0.324  0.522  0.167
Te  0.324  0.978  0.667
Te  0.676  0.022  0.333
Te  0.676  0.478  0.833
Se  0.123  0.652  0.780
Se  0.123  0.848  0.280
Se  0.298  0.108  0.041
Se  0.298  0.392  0.541
Se  0.702  0.608  0.459
Se  0.702  0.892  0.959
Se  0.877  0.152  0.720
Se  0.877  0.348  0.220
O  0.060  0.522  0.831
O  0.060  0.978  0.331
O  0.077  0.192  0.002
O  0.077  0.308  0.502
O  0.094  0.223  0.768
O  0.094  0.277  0.268
O  0.147  0.647  0.097
O  0.147  0.853  0.597
O  0.247  0.522  0.472
O  0.247  0.978  0.972
O  0.267  0.734  0.875
O  0.267  0.766  0.375
O  0.268  0.621  0.688
O  0.268  0.879  0.188
O  0.303  0.078  0.548
O  0.303  0.422  0.048
O  0.428  0.190  0.957
O  0.428  0.310  0.457
O  0.436  0.108  0.340
O  0.436  0.392  0.840
O  0.564  0.608  0.160
O  0.564  0.892  0.660
O  0.572  0.690  0.543
O  0.572  0.810  0.043
O  0.697  0.578  0.952
O  0.697  0.922  0.452
O  0.732  0.121  0.812
O  0.732  0.379  0.312
O  0.733  0.234  0.625
O  0.733  0.266  0.125
O  0.753  0.022  0.028
O  0.753  0.478  0.528
O  0.853  0.147  0.403
O  0.853  0.353  0.903
O  0.906  0.723  0.732
O  0.906  0.777  0.232
O  0.923  0.692  0.498
O  0.923  0.808  0.998
O  0.940  0.022  0.669
O  0.940  0.478  0.169

Magnetization in μB/cell: 0.0
N(E_F) in states/eV/cell: 0.00
Theoretical density in kg/m3: 3823
Formation energy from raw total energies in meV per atom: -1744


Entry from the Alexandria database: an optimized crystal structure of ScTeSe2O (GGA-PBE).

Unit cell a=5.425 b=5.425 c=3.980 alpha=90.00 beta=90.00 gamma=90.00
Fractional positions:
Sc  0.000  0.000  0.000
Te  0.500  0.500  0.500
Se  0.000  0.500  0.500
Se  0.500  0.000  0.500
O  0.500  0.500  0.000

Magnetization in μB/cell: 0.7
N(E_F) in states/eV/cell: 2.89
Theoretical density in kg/m3: 4913
Formation energy from raw total energies in meV per atom: -408


Copy entry 1 word for word.
Entry from the Alexandria database: an optimized crystal structure of TbScSeO2 (GGA-PBE).

Unit cell a=6.456 b=3.973 c=7.391 alpha=90.00 beta=111.13 gamma=90.00
Fractional positions:
Tb  0.189  0.250  0.435
Tb  0.811  0.750  0.565
Sc  0.155  0.250  0.928
Sc  0.845  0.750  0.072
Se  0.469  0.750  0.745
Se  0.531  0.250  0.255
O  0.013  0.750  0.366
O  0.031  0.750  0.897
O  0.969  0.250  0.103
O  0.987  0.250  0.634

Magnetization in μB/cell: 0.0
N(E_F) in states/eV/cell: 0.00
Theoretical density in kg/m3: 5913
Formation energy from raw total energies in meV per atom: -3023